# ErGeBr5 (PBE, optimized geometry)
# Formation energy (no corrections)   -8.66 eV per formula unit
# Total magnetic moment   0.0 μB per cell
data_ErGeBr5
_chemical_formula_sum 'Er4 Ge4 Br20'
_cell_length_a 10.7555
_cell_length_b 10.0028
_cell_length_c 10.7651
_cell_angle_alpha 90.00
_cell_angle_beta 116.28
_cell_angle_gamma 90.00
_space_group_name_H-M_alt 'C 1 2/c 1'
_space_group_IT_number 15
loop_
_space_group_symop_operation_xyz
'x,y,z'
'-x,-y,-z'
'-x,y,-z+1/2'
'x,-y,z+1/2'
'x+1/2,y+1/2,z'
'-x+1/2,-y+1/2,-z'
'-x+1/2,y+1/2,-z+1/2'
'x+1/2,-y+1/2,z+1/2'
loop_
_atom_site_label
_atom_site_type_symbol
_atom_site_fract_x
_atom_site_fract_y
_atom_site_fract_z
Er1 Er 0.2500 0.2500 0.0000
Ge1 Ge 0.0000 0.0759 0.2500
Br1 Br 0.0000 0.2488 0.7500
Br2 Br 0.0981 0.2689 0.1535
Br3 Br 0.2382 0.0241 0.4984


# ErHgGeBr6 (PBE, optimized geometry)
# Formation energy (no corrections)   -9.17 eV per formula unit
# Total magnetic moment   0.0 μB per cell
data_ErHgGeBr6
_chemical_formula_sum 'Er1 Hg1 Ge1 Br6'
_cell_length_a 6.9065
_cell_length_b 7.1878
_cell_length_c 7.1885
_cell_angle_alpha 119.99
_cell_angle_beta 90.02
_cell_angle_gamma 90.13
_space_group_name_H-M_alt 'P 1'
_space_group_IT_number 1
loop_
_space_group_symop_operation_xyz
'x,y,z'
loop_
_atom_site_label
_atom_site_type_symbol
_atom_site_fract_x
_atom_site_fract_y
_atom_site_fract_z
Er1 Er 0.0000 0.0000 0.0000
Hg1 Hg 0.5000 0.6666 0.3337
Ge1 Ge 0.0000 0.3332 0.6671
Br1 Br 0.2299 0.0251 0.6934
Br2 Br 0.2299 0.3078 0.3323
Br3 Br 0.2298 0.6690 0.9762
Br4 Br 0.7703 0.0237 0.3314
Br5 Br 0.7702 0.3066 0.9754
Br6 Br 0.7702 0.6676 0.6925


# KErGe2Br8 (PBE, optimized geometry)
# Formation energy (no corrections)   -13.93 eV per formula unit
# Total magnetic moment   0.0 μB per cell
data_KErGe2Br8
_chemical_formula_sum 'K1 Er1 Ge2 Br8'
_cell_length_a 6.6494
_cell_length_b 7.2713
_cell_length_c 9.2328
_cell_angle_alpha 86.20
_cell_angle_beta 89.35
_cell_angle_gamma 85.47
_space_group_name_H-M_alt 'P -1'
_space_group_IT_number 2
loop_
_space_group_symop_operation_xyz
'x,y,z'
'-x,-y,-z'
loop_
_atom_site_label
_atom_site_type_symbol
_atom_site_fract_x
_atom_site_fract_y
_atom_site_fract_z
K1 K 0.0000 0.0000 0.0000
Er1 Er 0.0000 0.0000 0.5000
Ge1 Ge 0.4552 0.4484 0.2608
Br1 Br 0.2259 0.8212 0.2926
Br2 Br 0.2296 0.3149 0.4691
Br3 Br 0.2666 0.8611 0.7216
Br4 Br 0.2710 0.3609 0.0492


Calculated volume per entry: 37.09; 34.34; 37.00 Å³ per atom